(1)
La12AgHg6 | PBE | relaxed

Crystal system: trigonal
E_form: -429 kJ/mol of formula units

Unit cell a=11.8020 b=11.8020 c=14.4651 alpha=90.00 beta=90.00 gamma=120.00
Closest atoms and distances in Å follow each position.
Space group R-3 (No. 148, hexagonal axes)
Symmetry-distinct sites (fractional):
La 0.0398 0.8436 0.3239 (multiplicity 18)  2 La 3.13-3.41, 1 Ag 3.31, 3 Hg 3.34-3.37
La 0.0624 0.2132 0.9005 (multiplicity 18)  4 La 3.30-3.65, 4 Hg 3.35-3.62
Ag 0.0000 0.0000 0.5000 (multiplicity 3)  6 Hg 3.27, 6 La 3.31
Hg 0.0312 0.5914 0.2082 (multiplicity 18)  1 Ag 3.27, 8 La 3.34-3.62, 2 Hg 3.43

***

(2)
Ce4Cd5Hg2 | PBE | relaxed

Crystal system: monoclinic
E_form: -216 kJ/mol of formula units

Unit cell a=7.9195 b=3.1854 c=10.7502 alpha=90.00 beta=92.90 gamma=90.00
Closest atoms and distances in Å follow each position.
Space group P2/m (No. 10)
Symmetry-distinct sites (fractional):
Ce 0.1188 0.0000 0.4097 (multiplicity 2)  1 Ce 2.77
Ce 0.3233 0.0000 0.9600 (multiplicity 2)  3 Ce 2.89-3.19
Cd 0.2325 0.5000 0.6801 (multiplicity 2)  4 Cd 2.94-3.19, 1 Hg 3.00
Cd 0.4099 0.5000 0.2286 (multiplicity 2)  4 Cd 2.95-3.19, 1 Hg 3.02
Cd 0.5000 0.5000 0.5000 (multiplicity 1)  6 Cd 2.94-3.19
Hg 0.0427 0.5000 0.1383 (multiplicity 2)  2 Cd 3.00-3.02, 3 Hg 3.02-3.19, 2 Ce 3.35

***

(3)
ZrAg3F | PBE | relaxed

Crystal system: cubic
Formation energy (no corrections): 5.084 eV/f.u.
Polymorph energy (0 for the lowest one): 0.7847 eV per atom

Unit cell a=5.4374 b=5.4374 c=5.4374 alpha=90.00 beta=90.00 gamma=90.00
Closest atoms and distances in Å follow each position.
Space group Pm-3m (No. 221)
Symmetry-distinct sites (fractional):
Zr 0.0000 0.0000 0.0000 (multiplicity 1)  6 Ag 2.72
Ag 0.0000 0.0000 0.5000 (multiplicity 3)  2 Zr 2.72
F 0.5000 0.5000 0.5000 (multiplicity 1)  12 Ag 3.84

***

(4)
Pm6Dy5Er | PBE | relaxed

Crystal system: orthorhombic
E_form: 18 kJ/mol of formula units

Unit cell a=5.0925 b=10.1115 c=15.2662 alpha=90.00 beta=90.00 gamma=90.00
Closest atoms and distances in Å follow each position.
Space group Immm (No. 71)
Symmetry-distinct sites (fractional):
Pm 0.0000 0.2494 0.0000 (multiplicity 4)  6 Dy 3.58-3.59, 2 Er 3.58, 4 Pm 3.60
Pm 0.0000 0.2504 0.3334 (multiplicity 8)  1 Er 3.58, 7 Dy 3.59, 4 Pm 3.60
Dy 0.0000 0.0000 0.1667 (multiplicity 4)  8 Pm 3.58-3.59, 2 Er 3.60, 2 Dy 3.60
Dy 0.0000 0.0000 0.5000 (multiplicity 2)  8 Pm 3.59, 4 Dy 3.60
Dy 0.0000 0.5000 0.1666 (multiplicity 4)  8 Pm 3.59, 4 Dy 3.60
Er 0.0000 0.5000 0.5000 (multiplicity 2)  8 Pm 3.58, 4 Dy 3.60

***

(5)
BaTa2Al | PBE | relaxed

Crystal system: monoclinic
E_form: 202 kJ/mol of formula units

Unit cell a=9.2619 b=3.0599 c=7.2030 alpha=90.00 beta=95.50 gamma=90.00
Closest atoms and distances in Å follow each position.
Space group Cm (No. 8)
Symmetry-distinct sites (fractional):
Ba 0.0000 0.0000 0.0000 (multiplicity 2)  2 Ba 3.06, 1 Ta 3.34
Ta 0.2158 0.0000 0.6536 (multiplicity 2)  5 Ta 2.79-3.06, 2 Al 2.80
Ta 0.4800 0.0000 0.4962 (multiplicity 2)  5 Ta 2.79-3.06, 3 Al 2.81-2.83
Al 0.2468 0.5000 0.3338 (multiplicity 2)  5 Ta 2.80-2.83, 2 Al 3.06

***

(6)
RbLaRh3 | PBE | relaxed

Crystal system: cubic
E_form: 357 kJ/mol of formula units
Polymorph energy (0 for the lowest one): 0.0000 eV per atom

Unit cell a=5.1181 b=5.1181 c=5.1181 alpha=90.00 beta=90.00 gamma=90.00
Closest atoms and distances in Å follow each position.
Space group Pm-3m (No. 221)
Symmetry-distinct sites (fractional):
Rb 0.0000 0.0000 0.0000 (multiplicity 1)  12 Rh 3.62
La 0.5000 0.5000 0.5000 (multiplicity 1)  6 Rh 2.56
Rh 0.0000 0.5000 0.5000 (multiplicity 3)  2 La 2.56

***

(7)
CePmSnPt | PBE | relaxed

Crystal system: cubic
E_form: -272 kJ/mol of formula units

Unit cell a=7.4709 b=7.4709 c=7.4709 alpha=90.00 beta=90.00 gamma=90.00
Closest atoms and distances in Å follow each position.
Space group F-43m (No. 216)
Symmetry-distinct sites (fractional):
Ce 0.0000 0.0000 0.0000 (multiplicity 4)  4 Sn 3.23, 4 Pt 3.23
Pm 0.0000 0.0000 0.5000 (multiplicity 4)  4 Pt 3.23, 4 Sn 3.23
Sn 0.2500 0.2500 0.7500 (multiplicity 4)  4 Ce 3.23, 4 Pm 3.23
Pt 0.2500 0.2500 0.2500 (multiplicity 4)  4 Ce 3.23, 4 Pm 3.23

***

(8)
Hg2IrRu | PBE | relaxed

Crystal system: tetragonal
E_form: 272 kJ/mol of formula units
Polymorph energy (0 for the lowest one): 0.3964 eV per atom

Unit cell a=4.6662 b=4.6662 c=3.2132 alpha=90.00 beta=90.00 gamma=90.00
Closest atoms and distances in Å follow each position.
Space group P4/mmm (No. 123)
Symmetry-distinct sites (fractional):
Hg 0.0000 0.5000 0.0000 (multiplicity 2)  4 Ru 2.83, 4 Ir 2.83
Ir 0.0000 0.0000 0.5000 (multiplicity 1)  8 Hg 2.83
Ru 0.5000 0.5000 0.5000 (multiplicity 1)  8 Hg 2.83

***

(9)
Sr2LiAu7 | PBE | relaxed

Crystal system: tetragonal
E_form: -507 kJ/mol of formula units

Unit cell a=4.2940 b=4.2940 c=12.5648 alpha=90.00 beta=90.00 gamma=90.00
Closest atoms and distances in Å follow each position.
Space group P-4m2 (No. 115)
Symmetry-distinct sites (fractional):
Sr 0.0000 0.5000 0.2427 (multiplicity 2)  8 Au 3.27-3.38
Li 0.0000 0.0000 0.5000 (multiplicity 1)  8 Au 2.76-3.04
Au 0.0000 0.0000 0.0000 (multiplicity 1)  8 Au 2.83-3.04
Au 0.0000 0.5000 0.6383 (multiplicity 2)  3 Au 2.70-2.76, 2 Li 2.76
Au 0.0000 0.5000 0.8529 (multiplicity 2)  5 Au 2.70-2.83
Au 0.5000 0.5000 0.0000 (multiplicity 1)  8 Au 2.83-3.04
Au 0.5000 0.5000 0.5000 (multiplicity 1)  4 Au 2.76, 4 Li 3.04

***

(10)
PmPu2Pb | PBE | relaxed

Crystal system: tetragonal
E_form: -61 kJ/mol of formula units
Polymorph energy (0 for the lowest one): 0.0000 eV per atom

Unit cell a=4.6520 b=4.6520 c=5.2360 alpha=90.00 beta=90.00 gamma=90.00
Closest atoms and distances in Å follow each position.
Space group P4/mmm (No. 123)
Symmetry-distinct sites (fractional):
Pm 0.0000 0.0000 0.0000 (multiplicity 1)  4 Pb 3.29, 8 Pu 3.50
Pu 0.0000 0.5000 0.5000 (multiplicity 2)  4 Pu 3.29, 4 Pb 3.50, 4 Pm 3.50
Pb 0.5000 0.5000 0.0000 (multiplicity 1)  4 Pm 3.29, 8 Pu 3.50

***

(11)
ScZnTc | PBE | relaxed

Crystal system: trigonal
E_form: 26 kJ/mol of formula units
Polymorph energy (0 for the lowest one): 0.4076 eV per atom

Unit cell a=3.0958 b=3.0958 c=6.3549 alpha=90.00 beta=90.00 gamma=120.00
Closest atoms and distances in Å follow each position.
Space group P3m1 (No. 156)
Symmetry-distinct sites (fractional):
Sc 0.0000 0.0000 0.0000 (multiplicity 1)  3 Tc 2.68, 3 Zn 2.98
Zn 0.6667 0.3333 0.6242 (multiplicity 1)  3 Tc 2.66
Tc 0.3333 0.6667 0.3140 (multiplicity 1)  3 Zn 2.66, 3 Sc 2.68

***

(12)
ScAuSe2 | PBE | relaxed

Crystal system: tetragonal
Formation energy (no corrections): -2.717 eV/f.u.

Unit cell a=6.8704 b=6.8704 c=7.0883 alpha=90.00 beta=90.00 gamma=90.00
Closest atoms and distances in Å follow each position.
Space group I4/mcm (No. 140)
Symmetry-distinct sites (fractional):
Sc 0.0000 0.5000 0.2500 (multiplicity 4)  4 Se 2.66
Au 0.0000 0.0000 0.2500 (multiplicity 4)  8 Se 3.04
Se 0.2047 0.2953 0.0000 (multiplicity 8)  2 Sc 2.66